First-principles (GGA-PBE) data for CaInPt after structural relaxation, as listed in the Alexandria database.

As for the total magnetization: 0.00 μB/cell. Its density of states at the Fermi level is 3.38 states/eV per cell. The formation energy is -0.632 eV per atom.

It has space group I4mm (No. 107), with a = 3.573 Å, b = 3.573 Å, c = 10.563 Å, α = 90.00°, β = 90.00° and γ = 90.00°. The inequivalent atoms are Ca at (0.000, 0.000, 0.000), In at (0.000, 0.000, 0.705) and Pt at (0.000, 0.000, 0.327).

First-principles (GGA-PBE) data for Ca6InPt2 after structural relaxation, as listed in the Alexandria database.

As for the total magnetization: 0.00 μB/cell. Its density of states at the Fermi level is 28.00 states/eV per cell. The formation energy is -0.627 eV per atom.

It has space group Immm (No. 71), with a = 9.636 Å, b = 9.781 Å, c = 11.136 Å, α = 90.00°, β = 90.00° and γ = 90.00°. The inequivalent atoms are Ca at (0.000, 0.197, 0.244), Ca at (0.181, 0.500, 0.157), Ca at (0.205, 0.321, 0.500), In at (0.000, 0.000, 0.000), In at (0.000, 0.000, 0.500), Pt at (0.000, 0.308, 0.000) and Pt at (0.000, 0.500, 0.366).

First-principles (GGA-PBE) data for CaInPt2 after structural relaxation, as listed in the Alexandria database.

As for the total magnetization: 0.00 μB/cell. Its density of states at the Fermi level is 2.06 states/eV per cell. The formation energy is -0.636 eV per atom.

It has space group Pmmm (No. 47), with a = 3.164 Å, b = 3.667 Å, c = 6.757 Å, α = 90.00°, β = 90.00° and γ = 90.00°. The inequivalent atoms are Ca at (0.000, 0.000, 0.000), In at (0.000, 0.000, 0.500) and Pt at (0.500, 0.500, 0.277).

First-principles (GGA-PBE) data for Ca4InPt after structural relaxation, as listed in the Alexandria database.

As for the total magnetization: 1.29 μB/cell. Its density of states at the Fermi level is 19.61 states/eV per cell. The formation energy is 0.303 eV per atom. The energy above the most stable polymorph in this dataset is 849 meV per atom.

It has space group F-43m (No. 216), with a = 8.839 Å, b = 8.839 Å, c = 8.839 Å, α = 90.00°, β = 90.00° and γ = 90.00°. The inequivalent atoms are Ca at (0.124, 0.124, 0.376), In at (0.000, 0.000, 0.000) and Pt at (0.250, 0.250, 0.750).

First-principles (GGA-PBE) data for CaInPt2 after structural relaxation, as listed in the Alexandria database.

As for the total magnetization: 0.00 μB/cell. Its density of states at the Fermi level is 1.96 states/eV per cell. The formation energy is -0.669 eV per atom.

It has space group P4/mmm (No. 123), with a = 4.624 Å, b = 4.624 Å, c = 3.613 Å, α = 90.00°, β = 90.00° and γ = 90.00°. The inequivalent atoms are Ca at (0.000, 0.000, 0.000), In at (0.500, 0.500, 0.000) and Pt at (0.000, 0.500, 0.500).

First-principles (GGA-PBE) data for CaInPt2 after structural relaxation, as listed in the Alexandria database.

As for the total magnetization: 0.00 μB/cell. Its density of states at the Fermi level is 9.54 states/eV per cell. The formation energy is -0.290 eV per atom.

It has space group I-42d (No. 122), with a = 4.919 Å, b = 4.919 Å, c = 18.221 Å, α = 90.00°, β = 90.00° and γ = 90.00°. The inequivalent atoms are Ca at (0.000, 0.000, 0.000), In at (0.000, 0.000, 0.500) and Pt at (0.075, 0.250, 0.625).

First-principles (GGA-PBE) data for Ca2In8Pt after structural relaxation, as listed in the Alexandria database.

As for the total magnetization: 0.00 μB/cell. Its density of states at the Fermi level is 3.60 states/eV per cell. The formation energy is -0.375 eV per atom.

It has space group P4/mmm (No. 123), with a = 4.765 Å, b = 4.765 Å, c = 12.144 Å, α = 90.00°, β = 90.00° and γ = 90.00°. The inequivalent atoms are Ca at (0.000, 0.000, 0.191), In at (0.000, 0.500, 0.000), In at (0.000, 0.500, 0.375), In at (0.500, 0.500, 0.193) and Pt at (0.000, 0.000, 0.500).

First-principles (GGA-PBE) data for CaIn6Pt3 after structural relaxation, as listed in the Alexandria database.

As for the total magnetization: 0.00 μB/cell. Its density of states at the Fermi level is 6.10 states/eV per cell. The formation energy is -0.512 eV per atom.

It has space group P2_1/m (No. 11), with a = 9.758 Å, b = 4.445 Å, c = 10.430 Å, α = 90.00°, β = 93.63° and γ = 90.00°. The inequivalent atoms are Ca at (0.094, 0.250, 0.253), In at (0.083, 0.250, 0.926), In at (0.121, 0.750, 0.498), In at (0.267, 0.750, 0.786), In at (0.334, 0.750, 0.295), In at (0.368, 0.250, 0.558), In at (0.400, 0.250, 0.071), Pt at (0.119, 0.250, 0.667), Pt at (0.212, 0.750, 0.046) and Pt at (0.492, 0.250, 0.329).

First-principles (GGA-PBE) data for CaInPt after structural relaxation, as listed in the Alexandria database.

As for the total magnetization: 0.00 μB/cell. Its density of states at the Fermi level is 5.17 states/eV per cell. The formation energy is -0.844 eV per atom.

It has space group Pnma (No. 62), with a = 7.303 Å, b = 4.475 Å, c = 8.397 Å, α = 90.00°, β = 90.00° and γ = 90.00°. The inequivalent atoms are Ca at (0.029, 0.250, 0.178), In at (0.151, 0.250, 0.565) and Pt at (0.231, 0.750, 0.378).

First-principles (GGA-PBE) data for Ca3In7Pt4 after structural relaxation, as listed in the Alexandria database.

As for the total magnetization: 0.00 μB/cell. Its density of states at the Fermi level is 13.30 states/eV per cell. The formation energy is -0.642 eV per atom.

It has space group C2/m (No. 12), with a = 16.720 Å, b = 4.509 Å, c = 10.105 Å, α = 90.00°, β = 122.41° and γ = 90.00°. The inequivalent atoms are Ca at (0.000, 0.000, 0.000), Ca at (0.194, 0.500, 0.704), In at (0.000, 0.000, 0.500), In at (0.003, 0.500, 0.285), In at (0.163, 0.000, 0.431), In at (0.184, 0.500, 0.029), Pt at (0.118, 0.000, 0.835) and Pt at (0.164, 0.500, 0.277).

First-principles (GGA-PBE) data for CaInPt after structural relaxation, as listed in the Alexandria database.

As for the total magnetization: 0.00 μB/cell. Its density of states at the Fermi level is 2.30 states/eV per cell. The formation energy is -0.594 eV per atom.

It has space group Pmmm (No. 47), with a = 3.587 Å, b = 4.658 Å, c = 9.625 Å, α = 90.00°, β = 90.00° and γ = 90.00°. The inequivalent atoms are Ca at (0.000, 0.000, 0.000), Ca at (0.500, 0.000, 0.500), In at (0.000, 0.500, 0.229), Pt at (0.000, 0.500, 0.500) and Pt at (0.500, 0.500, 0.000).

First-principles (GGA-PBE) data for CaInPt2 after structural relaxation, as listed in the Alexandria database.

As for the total magnetization: 0.00 μB/cell. Its density of states at the Fermi level is 2.91 states/eV per cell. The formation energy is -0.631 eV per atom.

It has space group I-4m2 (No. 119), with a = 4.086 Å, b = 4.086 Å, c = 9.167 Å, α = 90.00°, β = 90.00° and γ = 90.00°. The inequivalent atoms are Ca at (0.000, 0.000, 0.000), In at (0.000, 0.500, 0.750), Pt at (0.000, 0.000, 0.500) and Pt at (0.000, 0.500, 0.250).